A relaxed structure of LaPt2. Source: Alexandria, functional PBEsol.

a = 8.7743 Å, b = 8.7743 Å, c = 8.7743 Å
α = 153.47°, β = 153.47°, γ = 37.88°
Element x y z (fractional)
1 La 0.3750 0.6250 0.7500
2 La 0.6250 0.3750 0.2500
3 Pt 0.0474 0.7974 0.2500
4 Pt 0.2026 0.9526 0.2500
5 Pt 0.7974 0.0474 0.7500
6 Pt 0.9526 0.2026 0.7500

Results
E in Ha/atom: -0.26914
Density of states at the Fermi level in states/eV/cell: 2.65
Calculated volume in Å³ per cell: 135
Theoretical density in g cm⁻³: 13.053
ΔE_f in eV per atom: -0.90

***

A relaxed structure of LaPt2. Source: Alexandria, functional PBEsol.

a = 5.4729 Å, b = 5.4729 Å, c = 5.4729 Å
α = 60.00°, β = 60.00°, γ = 60.00°
Element x y z (fractional)
1 La 0.1250 0.1250 0.1250
2 La 0.8750 0.8750 0.8750
3 Pt 0.0000 0.5000 0.5000
4 Pt 0.5000 0.0000 0.5000
5 Pt 0.5000 0.5000 0.0000
6 Pt 0.5000 0.5000 0.5000

Results
E in Ha/atom: -0.27566
Density of states at the Fermi level in states/eV/cell: 2.47
Calculated volume in Å³ per cell: 116
Theoretical density in g cm⁻³: 15.159
ΔE_f in eV per atom: -1.08

***

A relaxed structure of LaPt2. Source: Alexandria, functional PBEsol.

a = 7.0951 Å, b = 7.0951 Å, c = 4.2748 Å
α = 90.00°, β = 90.00°, γ = 146.36°
Element x y z (fractional)
1 La 0.0979 0.9021 0.7500
2 La 0.9021 0.0979 0.2500
3 Pt 0.2468 0.7532 0.2500
4 Pt 0.4118 0.5882 0.7500
5 Pt 0.5882 0.4118 0.2500
6 Pt 0.7532 0.2468 0.7500

Results
E in Ha/atom: -0.26583
Density of states at the Fermi level in states/eV/cell: 2.42
Calculated volume in Å³ per cell: 119
Theoretical density in g cm⁻³: 14.740
ΔE_f in eV per atom: -0.81

***

A relaxed structure of LaPt2. Source: Alexandria, functional PBEsol.

a = 4.4376 Å, b = 4.4376 Å, c = 3.9036 Å
α = 90.00°, β = 90.00°, γ = 120.00°
Element x y z (fractional)
1 La 0.0000 0.0000 0.0000
2 Pt 0.3333 0.6667 0.5000
3 Pt 0.6667 0.3333 0.5000

Results
E in Ha/atom: -0.26935
Density of states at the Fermi level in states/eV/cell: 3.76
Calculated volume in Å³ per cell: 67
Theoretical density in g cm⁻³: 13.197
ΔE_f in eV per atom: -0.90

***

A relaxed structure of La3Pt. Source: Alexandria, functional PBEsol.

a = 3.9369 Å, b = 3.9369 Å, c = 9.5966 Å
α = 90.00°, β = 90.00°, γ = 120.00°
Element x y z (fractional)
1 La 0.0000 0.0000 0.0000
2 La 0.3333 0.6667 0.3085
3 La 0.3333 0.6667 0.6915
4 Pt 0.0000 0.0000 0.5000

Results
E in Ha/atom: -0.22607
Density of states at the Fermi level in states/eV/cell: 4.61
Calculated volume in Å³ per cell: 129
Theoretical density in g cm⁻³: 7.887
ΔE_f in eV per atom: -0.40

***

A relaxed structure of La7Pt3. Source: Alexandria, functional PBEsol.

a = 10.1890 Å, b = 10.1890 Å, c = 6.4353 Å
α = 90.00°, β = 90.00°, γ = 120.00°
Element x y z (fractional)
1 La 0.0727 0.5363 0.0000
2 La 0.1263 0.2525 0.7041
3 La 0.1263 0.8737 0.7041
4 La 0.2525 0.1263 0.2041
5 La 0.3333 0.6667 0.4842
6 La 0.4637 0.5363 0.0000
7 La 0.4637 0.9273 0.0000
8 La 0.5363 0.0727 0.5000
9 La 0.5363 0.4637 0.5000
10 La 0.6667 0.3333 0.9842
11 La 0.7475 0.8737 0.7041
12 La 0.8737 0.1263 0.2041
13 La 0.8737 0.7475 0.2041
14 La 0.9273 0.4637 0.5000
15 Pt 0.1882 0.3764 0.2472
16 Pt 0.1882 0.8118 0.2472
17 Pt 0.3764 0.1882 0.7472
18 Pt 0.6236 0.8118 0.2472
19 Pt 0.8118 0.1882 0.7472
20 Pt 0.8118 0.6236 0.7472

Results
E in Ha/atom: -0.24121
Density of states at the Fermi level in states/eV/cell: 21.44
Calculated volume in Å³ per cell: 579
Theoretical density in g cm⁻³: 8.941
ΔE_f in eV per atom: -0.73

***

A relaxed structure of La2Pt. Source: Alexandria, functional PBEsol.

a = 6.0094 Å, b = 6.0094 Å, c = 6.0094 Å
α = 107.48°, β = 107.48°, γ = 113.53°
Element x y z (fractional)
1 La 0.1814 0.6814 0.8628
2 La 0.3186 0.1814 0.5000
3 La 0.6814 0.8186 0.5000
4 La 0.8186 0.3186 0.1372
5 Pt 0.2500 0.2500 0.0000
6 Pt 0.7500 0.7500 0.0000

Results
E in Ha/atom: -0.24216
Density of states at the Fermi level in states/eV/cell: 7.47
Calculated volume in Å³ per cell: 166
Theoretical density in g cm⁻³: 9.437
ΔE_f in eV per atom: -0.70

***

A relaxed structure of LaPt2. Source: Alexandria, functional PBEsol.

a = 2.9447 Å, b = 2.9447 Å, c = 7.4198 Å
α = 90.00°, β = 90.00°, γ = 120.00°
Element x y z (fractional)
1 La 0.0000 0.0000 0.0000
2 Pt 0.3333 0.6667 0.6562
3 Pt 0.6667 0.3333 0.3438

Results
E in Ha/atom: -0.23837
Density of states at the Fermi level in states/eV/cell: 2.80
Calculated volume in Å³ per cell: 56
Theoretical density in g cm⁻³: 15.767
ΔE_f in eV per atom: -0.06

***

A relaxed structure of LaRePt2. Source: Alexandria, functional PBEsol.

a = 4.9547 Å, b = 4.9547 Å, c = 5.4842 Å
α = 100.01°, β = 100.01°, γ = 33.98°
Element x y z (fractional)
1 La 0.0000 0.0000 0.0000
2 Re 0.7539 0.7539 0.3430
3 Pt 0.2361 0.2361 0.7367
4 Pt 0.4898 0.4898 0.4754

Results
E in Ha/atom: -0.30251
Density of states at the Fermi level in states/eV/cell: 2.54
Calculated volume in Å³ per cell: 74
Theoretical density in g cm⁻³: 16.051
ΔE to the lowest computed polymorph in eV per atom: 0.098
ΔE_f in eV per atom: -0.08

***

A relaxed structure of LaRePt2. Source: Alexandria, functional PBEsol.

a = 2.8476 Å, b = 2.8476 Å, c = 8.6328 Å
α = 90.00°, β = 90.00°, γ = 90.00°
Element x y z (fractional)
1 La 0.0000 0.0000 0.0000
2 Re 0.0000 0.0000 0.5000
3 Pt 0.5000 0.5000 0.2894
4 Pt 0.5000 0.5000 0.7106

Results
E in Ha/atom: -0.30613
Density of states at the Fermi level in states/eV/cell: 3.50
Calculated volume in Å³ per cell: 70
Theoretical density in g cm⁻³: 16.967
ΔE to the lowest computed polymorph in eV per atom: 0.000
ΔE_f in eV per atom: -0.18

***

A relaxed structure of La2PtRh. Source: Alexandria, functional PBEsol.

a = 4.3462 Å, b = 5.8031 Å, c = 5.8031 Å
α = 39.70°, β = 90.00°, γ = 90.00°
Element x y z (fractional)
1 La 0.0000 0.0000 0.0000
2 La 0.5000 0.2760 0.2760
3 Pt 0.0000 0.7218 0.7218
4 Rh 0.5000 0.5400 0.5400

Results
E in Ha/atom: -0.27014
Density of states at the Fermi level in states/eV/cell: 1.90
Calculated volume in Å³ per cell: 93
Theoretical density in g cm⁻³: 10.228
ΔE_f in eV per atom: -0.90

***

A relaxed structure of LaPt2Rh2. Source: Alexandria, functional PBEsol.

a = 6.4421 Å, b = 6.4421 Å, c = 6.4421 Å
α = 144.09°, β = 144.09°, γ = 51.69°
Element x y z (fractional)
1 La 0.0000 0.0000 0.0000
2 Pt 0.2500 0.7500 0.5000
3 Pt 0.7500 0.2500 0.5000
4 Rh 0.3985 0.3985 0.0000
5 Rh 0.6015 0.6015 0.0000

Results
E in Ha/atom: -0.27234
Density of states at the Fermi level in states/eV/cell: 5.77
Calculated volume in Å³ per cell: 91
Theoretical density in g cm⁻³: 13.343
ΔE_f in eV per atom: -0.30

***

A relaxed structure of La2PtRh. Source: Alexandria, functional PBEsol.

a = 6.4395 Å, b = 6.4395 Å, c = 6.4395 Å
α = 145.35°, β = 142.29°, γ = 52.14°
Element x y z (fractional)
1 La 0.0000 0.0000 0.0000
2 La 0.7299 0.2299 0.5000
3 Pt 0.4536 0.4536 0.0000
4 Rh 0.2734 0.7734 0.5000

Results
E in Ha/atom: -0.26261
Density of states at the Fermi level in states/eV/cell: 2.52
Calculated volume in Å³ per cell: 92
Theoretical density in g cm⁻³: 10.355
ΔE_f in eV per atom: -0.70

***

A relaxed structure of La2PtRh. Source: Alexandria, functional PBEsol.

a = 4.1304 Å, b = 4.1304 Å, c = 5.8315 Å
α = 90.00°, β = 90.00°, γ = 90.00°
Element x y z (fractional)
1 La 0.0000 0.0000 0.0000
2 La 0.5000 0.5000 0.5000
3 Pt 0.0000 0.0000 0.5000
4 Rh 0.5000 0.5000 0.0000

Results
E in Ha/atom: -0.26573
Density of states at the Fermi level in states/eV/cell: 1.94
Calculated volume in Å³ per cell: 99
Theoretical density in g cm⁻³: 9.611
ΔE_f in eV per atom: -0.78

***

A relaxed structure of La2PtRh. Source: Alexandria, functional PBEsol.

a = 7.1900 Å, b = 7.1900 Å, c = 7.1900 Å
α = 33.30°, β = 33.30°, γ = 33.30°
Element x y z (fractional)
1 La 0.2471 0.2471 0.2471
2 La 0.7529 0.7529 0.7529
3 Pt 0.0000 0.0000 0.0000
4 Rh 0.5000 0.5000 0.5000

Results
E in Ha/atom: -0.26568
Density of states at the Fermi level in states/eV/cell: 1.99
Calculated volume in Å³ per cell: 100
Theoretical density in g cm⁻³: 9.587
ΔE_f in eV per atom: -0.78

***

A relaxed structure of LaPtRh. Source: Alexandria, functional PBEsol.

a = 4.3359 Å, b = 4.3359 Å, c = 3.9569 Å
α = 90.00°, β = 90.00°, γ = 120.00°
Element x y z (fractional)
1 La 0.0000 0.0000 0.0000
2 Pt 0.3333 0.6667 0.5000
3 Rh 0.6667 0.3333 0.5000

Results
E in Ha/atom: -0.27804
Density of states at the Fermi level in states/eV/cell: 1.30
Calculated volume in Å³ per cell: 64
Theoretical density in g cm⁻³: 11.261
ΔE_f in eV per atom: -0.75

***

A relaxed structure of La2RuPt. Source: Alexandria, functional PBEsol.

a = 4.4351 Å, b = 5.4909 Å, c = 5.4909 Å
α = 43.58°, β = 90.00°, γ = 90.00°
Element x y z (fractional)
1 La 0.0000 0.0000 0.0000
2 La 0.5000 0.2949 0.2949
3 Ru 0.0000 0.7596 0.7596
4 Pt 0.5000 0.5808 0.5808

Results
E in Ha/atom: -0.27669
Density of states at the Fermi level in states/eV/cell: 2.11
Calculated volume in Å³ per cell: 92
Theoretical density in g cm⁻³: 10.340
ΔE_f in eV per atom: -0.57

***

A relaxed structure of La2RuPt. Source: Alexandria, functional PBEsol.

a = 3.5092 Å, b = 3.5091 Å, c = 7.2633 Å
α = 90.00°, β = 90.06°, γ = 90.00°
Element x y z (fractional)
1 La 0.0008 0.0000 0.2567
2 La 0.9992 0.0000 0.7433
3 Ru 0.5000 0.5000 0.5000
4 Pt 0.5000 0.5000 0.0000

Results
E in Ha/atom: -0.27518
Density of states at the Fermi level in states/eV/cell: 1.42
Calculated volume in Å³ per cell: 89
Theoretical density in g cm⁻³: 10.656
ΔE_f in eV per atom: -0.53

***

A relaxed structure of La4RuPt. Source: Alexandria, functional PBEsol.

a = 5.9496 Å, b = 5.9496 Å, c = 5.9496 Å
α = 60.00°, β = 60.00°, γ = 60.00°
Element x y z (fractional)
1 La 0.1248 0.1248 0.1248
2 La 0.1248 0.1248 0.6255
3 La 0.1248 0.6255 0.1248
4 La 0.6255 0.1248 0.1248
5 Ru 0.7500 0.7500 0.7500
6 Pt 0.5000 0.5000 0.5000

Results
E in Ha/atom: -0.21106
Density of states at the Fermi level in states/eV/cell: 8.42
Calculated volume in Å³ per cell: 149
Theoretical density in g cm⁻³: 9.498
ΔE_f in eV per atom: 0.68

***

A relaxed structure of LaPtS2. Source: Alexandria, functional PBEsol.

a = 4.7224 Å, b = 4.7224 Å, c = 4.7224 Å
α = 60.00°, β = 60.00°, γ = 60.00°
Element x y z (fractional)
1 La 0.0000 0.0000 0.0000
2 Pt 0.5000 0.5000 0.5000
3 S 0.2500 0.2500 0.2500
4 S 0.7500 0.7500 0.7500

Results
E in Ha/atom: -0.22765
Density of states at the Fermi level in states/eV/cell: 3.69
Calculated volume in Å³ per cell: 74
Theoretical density in g cm⁻³: 8.878
Uncorrected formation energy in eV/atom: -0.93